The following is a PBE calculation of a relaxed structure of Cs2TlPb2, from Alexandria via LeMat-Bulk.

Geometry as CIF:
```
data_Cs2TlPb2
_space_group_name_H-M_alt 'P 1'
_space_group_IT_number 1
_space_group_name_Hall 'P 1'
_cell_length_a 5.865
_cell_length_b 5.865
_cell_length_c 8.788
_cell_angle_alpha 70.51
_cell_angle_beta 70.51
_cell_angle_gamma 90.00
loop_
_atom_site_label
_atom_site_fract_x
_atom_site_fract_y
_atom_site_fract_z
Tl1 0.000 0.000 0.000
Cs1 0.750 0.250 0.500
Pb1 0.411 0.411 0.178
Pb2 0.589 0.589 0.822
Cs2 0.250 0.750 0.500
```

Calculated values
The calculation puts the electronic total energy at -2.141 eV/atom. The calculation puts the formation energy at 0.157 eV/atom. The density of states at the Fermi level is 3.878 states/eV per cell. The calculated density comes out at 5.5 Mg/m³.